Below is a geometry-optimized CoPbSO structure, with properties calculated at the PBE+U level.

a b c (Å): 4.409 4.409 7.863
angles (deg): 90.00 90.00 90.00
Positions (direct):
S 0.250 0.250 0.311
S 0.750 0.750 0.689
Co 0.250 0.250 0.750
Co 0.750 0.750 0.250
O 0.250 0.250 0.506
O 0.750 0.750 0.494
Pb 0.250 0.750 0.000
Pb 0.750 0.250 0.000

Results
**E_tot**: -4.3622 eV/atom